Record 1
The following is a meta-GGA SCAN calculation of a PBEsol-optimized structure of ErTc2, from the Alexandria database.

- DFT formation energy (eV per atom) = -0.304
- symmetry = P6_3/mmc
- magnetic moment (Bohr magnetons per cell) = 0.00
- total energy (eV per atom) = -40.4572
- crystal system = hexagonal

a b c (Å): 5.275 5.275 8.712
angles (deg): 90.00 90.00 120.00
Positions (direct):
Er: 0.333 0.667 0.437
Er: 0.667 0.333 0.937
Er: 0.667 0.333 0.563
Er: 0.333 0.667 0.063
Tc: 0.342 0.171 0.250
Tc: 0.829 0.171 0.250
Tc: 0.171 0.342 0.750
Tc: 0.000 0.000 0.000
Tc: 0.000 0.000 0.500
Tc: 0.171 0.829 0.750
Tc: 0.829 0.658 0.250
Tc: 0.658 0.829 0.750

---

Record 2
The following is a meta-GGA SCAN calculation of a PBEsol-optimized structure of Nd3OsO7, from the Alexandria database.

- symmetry = Cmcm
- magnetic moment (Bohr magnetons per cell) = 6.00
- total energy (eV per atom) = -25.3245
- formation energy without anion corrections (eV per atom) = -2.939
- crystal system = orthorhombic

a b c (Å): 6.578 6.578 7.510
angles (deg): 90.00 90.00 111.63
Site moments in Bohr magnetons follow the coordinates.
Positions (direct):
Os: 0.500 0.500 0.000  1.93
Os: 0.500 0.500 0.500  1.93
Nd: 0.471 0.916 0.250  0.02
Nd: 0.000 0.000 0.500  0.01
Nd: 0.000 0.000 0.000  0.01
Nd: 0.916 0.471 0.250  0.02
Nd: 0.529 0.084 0.750  0.02
Nd: 0.084 0.529 0.750  0.02
O: 0.583 0.583 0.250  0.14
O: 0.439 0.187 0.040  0.14
O: 0.897 0.159 0.750  0.01
O: 0.417 0.417 0.750  0.14
O: 0.841 0.103 0.250  0.01
O: 0.813 0.561 0.960  0.14
O: 0.103 0.841 0.250  0.01
O: 0.561 0.813 0.540  0.14
O: 0.813 0.561 0.540  0.14
O: 0.561 0.813 0.960  0.14
O: 0.187 0.439 0.040  0.14
O: 0.439 0.187 0.460  0.14
O: 0.159 0.897 0.750  0.01
O: 0.187 0.439 0.460  0.14

---

Record 3
The following is a meta-GGA SCAN calculation of a PBEsol-optimized structure of NiOs2AuCl, from the Alexandria database.

- symmetry = P4/mmm
- magnetic moment (Bohr magnetons per cell) = 6.45
- total energy (eV per atom) = -45.0829
- formation energy without anion corrections (eV per atom) = 2.331
- crystal system = tetragonal

a b c (Å): 4.646 4.906 4.906
angles (deg): 90.00 90.00 90.00
Site moments in Bohr magnetons follow the coordinates.
Positions (direct):
Au: 0.000 0.000 0.000  0.22
Cl: 0.500 0.500 0.500  0.15
Os: 0.000 0.500 0.000  2.11
Os: 0.000 0.000 0.500  2.11
Ni: 0.500 0.000 0.000  1.18

---

Record 4
The following is a meta-GGA SCAN calculation of a PBEsol-optimized structure of TiGaS3, from the Alexandria database.

- symmetry = Pm-3m
- magnetic moment (Bohr magnetons per cell) = 1.22
- total energy (eV per atom) = -12.2521
- formation energy without anion corrections (eV per atom) = 0.000
- crystal system = cubic

a b c (Å): 4.574 4.574 4.574
angles (deg): 90.00 90.00 90.00
Site moments in Bohr magnetons follow the coordinates.
Positions (direct):
Ti: 0.500 0.500 0.500  1.57
S: 0.000 0.500 0.000  -0.14
S: 0.500 0.000 0.000  -0.14
S: 0.000 0.000 0.500  -0.14
Ga: 0.000 0.000 0.000  0.01

---

Record 5
The following is a meta-GGA SCAN calculation of a PBEsol-optimized structure of Zr3N2O3, from the Alexandria database.

- symmetry = Cmc2_1
- magnetic moment (Bohr magnetons per cell) = 0.00
- total energy (eV per atom) = -19.0587
- offset from the most stable computed form (eV/f.u.) = 0.48
- formation energy without anion corrections (eV per atom) = -2.887
- crystal system = orthorhombic

a b c (Å): 3.954 5.702 10.727
angles (deg): 90.00 90.00 110.29
Positions (direct):
N: 0.708 0.416 0.075
N: 0.952 0.903 0.386
N: 0.048 0.097 0.886
N: 0.292 0.584 0.575
Zr: 0.135 0.271 0.440
Zr: 0.185 0.370 0.749
Zr: 0.815 0.630 0.249
Zr: 0.865 0.729 0.940
Zr: 0.862 0.725 0.555
Zr: 0.138 0.275 0.055
O: 0.957 0.914 0.117
O: 0.308 0.617 0.919
O: 0.756 0.511 0.759
O: 0.043 0.086 0.617
O: 0.692 0.383 0.419
O: 0.244 0.489 0.259

---

Record 6
The following is a meta-GGA SCAN calculation of a PBEsol-optimized structure of MgIn2, from the Alexandria database.

- DFT formation energy (eV per atom) = -0.050
- symmetry = Imma
- magnetic moment (Bohr magnetons per cell) = 0.00
- total energy (eV per atom) = -23.9652
- crystal system = orthorhombic

a b c (Å): 3.133 4.192 11.790
angles (deg): 100.24 97.64 90.00
Positions (direct):
In: 0.047 0.797 0.094
In: 0.807 0.057 0.614
In: 0.953 0.203 0.906
In: 0.193 0.943 0.386
Mg: 0.620 0.370 0.240
Mg: 0.380 0.630 0.760

---

Record 7
The following is a meta-GGA SCAN calculation of a PBEsol-optimized structure of FeCo2Mo, from the Alexandria database.

- DFT formation energy (eV per atom) = 0.219
- symmetry = Pmm2
- magnetic moment (Bohr magnetons per cell) = 4.35
- total energy (eV per atom) = -21.6870
- offset from the most stable computed form (eV/f.u.) = 0.70
- crystal system = orthorhombic

a b c (Å): 2.544 3.495 5.703
angles (deg): 90.00 116.48 90.00
Site moments in Bohr magnetons follow the coordinates.
Positions (direct):
Co: 0.017 0.000 0.017  1.16
Co: 0.756 0.500 0.256  1.59
Fe: 0.475 0.000 0.475  2.18
Mo: 0.253 0.500 0.753  -0.55

---

Record 8
The following is a meta-GGA SCAN calculation of a PBEsol-optimized structure of ScReHg2, from the Alexandria database.

- DFT formation energy (eV per atom) = 0.322
- symmetry = P4/mmm
- magnetic moment (Bohr magnetons per cell) = 0.96
- total energy (eV per atom) = -55.0948
- offset from the most stable computed form (eV/f.u.) = 0.56
- crystal system = tetragonal

a b c (Å): 2.927 2.927 8.458
angles (deg): 90.00 90.00 90.00
Site moments in Bohr magnetons follow the coordinates.
Positions (direct):
Re: 0.500 0.500 0.000  0.47
Sc: 0.500 0.500 0.500  0.33
Hg: 0.000 0.000 0.245  0.00
Hg: 0.000 0.000 0.755  0.00

---

Record 9
The following is a meta-GGA SCAN calculation of a PBEsol-optimized structure of FeAg2Sb, from the Alexandria database.

- symmetry = Cmmm
- magnetic moment (Bohr magnetons per cell) = 3.00
- total energy (eV per atom) = -29.1556
- formation energy without anion corrections (eV per atom) = 0.375
- crystal system = orthorhombic

a b c (Å): 3.012 5.076 5.076
angles (deg): 115.83 90.00 90.00
Site moments in Bohr magnetons follow the coordinates.
Positions (direct):
Ag: 0.000 0.500 0.000  -0.03
Ag: 0.000 0.000 0.500  -0.03
Sb: 0.500 0.500 0.500  0.02
Fe: 0.500 0.000 0.000  3.10

---

Record 10
The following is a meta-GGA SCAN calculation of a PBEsol-optimized structure of CaTcAu2, from the Alexandria database.

- DFT formation energy (eV per atom) = -0.022
- symmetry = I-4m2
- magnetic moment (Bohr magnetons per cell) = 2.92
- total energy (eV per atom) = -45.7817
- offset from the most stable computed form (eV/f.u.) = 0.00
- crystal system = tetragonal

a b c (Å): 4.091 4.091 5.216
angles (deg): 113.09 113.09 90.00
Site moments in Bohr magnetons follow the coordinates.
Positions (direct):
Tc: 0.250 0.750 0.500  2.65
Au: 0.000 0.000 0.000  0.08
Au: 0.750 0.250 0.500  0.07
Ca: 0.500 0.500 0.000  0.03

---

Record 11
The following is a meta-GGA SCAN calculation of a PBEsol-optimized structure of TcAgHg2, from the Alexandria database.

- DFT formation energy (eV per atom) = 0.546
- symmetry = Imm2
- magnetic moment (Bohr magnetons per cell) = 0.00
- total energy (eV per atom) = -50.1438
- offset from the most stable computed form (eV/f.u.) = 0.13
- crystal system = orthorhombic

a b c (Å): 2.861 4.915 5.805
angles (deg): 115.05 104.27 90.00
Positions (direct):
Hg: 0.239 0.739 0.478
Hg: 0.003 0.003 0.006
Tc: 0.499 0.499 0.997
Ag: 0.760 0.260 0.519

---

Record 12
The following is a meta-GGA SCAN calculation of a PBEsol-optimized structure of SmSi3Rh, from the Alexandria database.

- symmetry = I4mm
- magnetic moment (Bohr magnetons per cell) = 0.00
- total energy (eV per atom) = -22.5170
- formation energy without anion corrections (eV per atom) = -0.865
- crystal system = tetragonal

a b c (Å): 4.171 4.171 5.685
angles (deg): 111.52 111.52 90.00
Positions (direct):
Rh: 0.347 0.347 0.693
Si: 0.736 0.236 0.473
Si: 0.586 0.586 0.171
Si: 0.236 0.736 0.473
Sm: 0.001 0.001 0.002

---

Question: Which of these has the highest magnetic moment?
Answer: NiOs2AuCl

---

Question: The highest total energy belongs to which entry?
Answer: TiGaS3

---

Question: What is the magnetic moment in the fifth record?
Answer: 0.00 Bohr magnetons per cell

---

Question: Among the records above, which one has the highest total energy?
Answer: TiGaS3